Record 1
{
  "formula": "V2Cr3W2",
  "functional": "PBE",
  "state": "optimized geometry",
  "lattice": [[2.6520, 0.0000, 0.0000], [-0.8753, 6.3915, 0.0000], [-0.8658, -3.2009, 5.5774]],
  "species": ["V", "V", "Cr", "Cr", "Cr", "W", "W"],
  "fractional_positions": [[0.1372, 0.0763, 0.3481], [0.8628, 0.9237, 0.6519], [0.0000, 0.5000, 0.5000], [0.4275, 0.2069, 0.0727], [0.5725, 0.7931, 0.9273], [0.2897, 0.6442, 0.2193], [0.7103, 0.3558, 0.7807]],
  "volume_a3_per_atom": 13.51,
  "delta_e_f_mev_per_atom": -5,
  "spacegroup": "No. 2",
  "magmom_total_mub_per_atom": 0.000
}

---

Record 2
{
  "formula": "DyHo2MgN",
  "functional": "PBE",
  "state": "optimized geometry",
  "lattice": [[4.8373, 0.0000, 0.0000], [0.0000, 4.8373, 0.0000], [0.0000, 0.0000, 4.8806]],
  "species": ["Dy", "Ho", "Ho", "Mg", "N"],
  "fractional_positions": [[0.0000, 0.0000, 0.0000], [0.0000, 0.5000, 0.5000], [0.5000, 0.0000, 0.5000], [0.5000, 0.5000, 0.0000], [0.0000, 0.0000, 0.5000]],
  "volume_a3_per_atom": 22.84,
  "e_form_raw_ev_per_atom": -0.713,
  "spacegroup": "No. 123",
  "magmom_total_mub_per_atom": 0.000
}

---

Record 3
{
  "formula": "SrGaP2Cl",
  "functional": "PBE",
  "state": "optimized geometry",
  "lattice": [[4.6525, 0.0000, 0.0000], [0.0000, 4.6525, 0.0000], [0.0000, 0.0000, 5.6119]],
  "species": ["Sr", "Ga", "P", "P", "Cl"],
  "fractional_positions": [[0.0000, 0.0000, 0.0000], [0.5000, 0.5000, 0.5000], [0.0000, 0.5000, 0.5000], [0.5000, 0.0000, 0.5000], [0.5000, 0.5000, 0.0000]],
  "volume_a3_per_atom": 24.29,
  "e_form_raw_ev_per_atom": -0.454,
  "spacegroup": "No. 123",
  "magmom_total_mub_per_atom": 0.000
}

---

Record 4
{
  "formula": "TiBiSb2Te",
  "functional": "PBE",
  "state": "optimized geometry",
  "lattice": [[5.3768, 0.0000, 0.0000], [0.0000, 5.3768, 0.0000], [0.0000, 0.0000, 5.2021]],
  "species": ["Ti", "Bi", "Sb", "Sb", "Te"],
  "fractional_positions": [[0.0000, 0.0000, 0.0000], [0.5000, 0.5000, 0.5000], [0.0000, 0.5000, 0.0000], [0.5000, 0.0000, 0.0000], [0.0000, 0.0000, 0.5000]],
  "volume_a3_per_atom": 30.08,
  "e_form_raw_ev_per_atom": 0.173,
  "spacegroup": "No. 123",
  "magmom_total_mub_per_atom": 0.000
}

---

Record 5
{
  "formula": "LiTbCeTm",
  "functional": "PBE",
  "state": "optimized geometry",
  "lattice": [[7.7117, 0.0000, 0.0000], [0.0000, 7.7117, 0.0000], [0.0000, 0.0000, 7.7117]],
  "species": ["Li", "Li", "Li", "Li", "Tb", "Tb", "Tb", "Tb", "Ce", "Ce", "Ce", "Ce", "Tm", "Tm", "Tm", "Tm"],
  "fractional_positions": [[0.0000, 0.0000, 0.0000], [0.0000, 0.5000, 0.5000], [0.5000, 0.0000, 0.5000], [0.5000, 0.5000, 0.0000], [0.2500, 0.2500, 0.7500], [0.2500, 0.7500, 0.2500], [0.7500, 0.2500, 0.2500], [0.7500, 0.7500, 0.7500], [0.2500, 0.2500, 0.2500], [0.2500, 0.7500, 0.7500], [0.7500, 0.2500, 0.7500], [0.7500, 0.7500, 0.2500], [0.0000, 0.0000, 0.5000], [0.0000, 0.5000, 0.0000], [0.5000, 0.0000, 0.0000], [0.5000, 0.5000, 0.5000]],
  "volume_a3_per_atom": 28.66,
  "delta_e_f_mev_per_atom": 231,
  "spacegroup": "No. 216",
  "magmom_total_mub_per_atom": 0.308
}

---

Record 6
{
  "formula": "Sr2ScCu",
  "functional": "PBE",
  "state": "optimized geometry",
  "lattice": [[7.9445, 0.0000, 0.0000], [0.0000, 7.9559, 0.0000], [0.0000, 0.0000, 4.0146]],
  "species": ["Sr", "Sr", "Sr", "Sr", "Sc", "Sc", "Cu", "Cu"],
  "fractional_positions": [[0.2500, 0.2500, 0.0000], [0.2500, 0.7500, 0.0000], [0.7500, 0.2500, 0.0000], [0.7500, 0.7500, 0.0000], [0.0000, 0.0000, 0.5000], [0.5000, 0.5000, 0.5000], [0.0000, 0.5000, 0.5000], [0.5000, 0.0000, 0.5000]],
  "volume_a3_per_atom": 31.72,
  "delta_e_f_mev_per_atom": 335,
  "spacegroup": "No. 65",
  "magmom_total_mub_per_atom": 0.000
}

---

Record 7
{
  "formula": "YLuSe3",
  "functional": "PBE",
  "state": "optimized geometry",
  "lattice": [[4.5709, 0.0000, 0.0000], [-2.2855, 3.9585, 0.0000], [0.0000, 0.0000, 16.6100]],
  "species": ["Y", "Y", "Lu", "Lu", "Se", "Se", "Se", "Se", "Se", "Se"],
  "fractional_positions": [[0.0000, 0.0000, 0.0000], [0.0000, 0.0000, 0.5000], [0.3333, 0.6667, 0.2500], [0.6667, 0.3333, 0.7500], [0.0000, 0.0000, 0.2500], [0.0000, 0.0000, 0.7500], [0.3333, 0.6667, 0.0808], [0.3333, 0.6667, 0.4192], [0.6667, 0.3333, 0.5808], [0.6667, 0.3333, 0.9192]],
  "volume_a3_per_atom": 30.05,
  "e_form_raw_ev_per_atom": -1.713,
  "spacegroup": "No. 194",
  "magmom_total_mub_per_atom": 0.000
}

---

Record 8
{
  "formula": "PrErLuGa",
  "functional": "PBE",
  "state": "optimized geometry",
  "lattice": [[7.5584, 0.0000, 0.0000], [0.0000, 7.5584, 0.0000], [0.0000, 0.0000, 7.5584]],
  "species": ["Pr", "Pr", "Pr", "Pr", "Er", "Er", "Er", "Er", "Lu", "Lu", "Lu", "Lu", "Ga", "Ga", "Ga", "Ga"],
  "fractional_positions": [[0.0000, 0.0000, 0.0000], [0.0000, 0.5000, 0.5000], [0.5000, 0.0000, 0.5000], [0.5000, 0.5000, 0.0000], [0.0000, 0.0000, 0.5000], [0.0000, 0.5000, 0.0000], [0.5000, 0.0000, 0.0000], [0.5000, 0.5000, 0.5000], [0.2500, 0.2500, 0.2500], [0.2500, 0.7500, 0.7500], [0.7500, 0.2500, 0.7500], [0.7500, 0.7500, 0.2500], [0.2500, 0.2500, 0.7500], [0.2500, 0.7500, 0.2500], [0.7500, 0.2500, 0.2500], [0.7500, 0.7500, 0.7500]],
  "volume_a3_per_atom": 26.99,
  "delta_e_f_mev_per_atom": -101,
  "spacegroup": "No. 216",
  "magmom_total_mub_per_atom": 0.046
}

---

Record 9
{
  "formula": "Ga2SnCl2",
  "functional": "PBE",
  "state": "optimized geometry",
  "lattice": [[3.7578, 0.0000, 0.0000], [0.0000, 3.7578, 0.0000], [0.0000, 0.0000, 18.0749]],
  "species": ["Ga", "Ga", "Ga", "Ga", "Sn", "Sn", "Cl", "Cl", "Cl", "Cl"],
  "fractional_positions": [[0.0000, 0.5000, 0.2500], [0.0000, 0.5000, 0.7500], [0.5000, 0.0000, 0.2500], [0.5000, 0.0000, 0.7500], [0.0000, 0.0000, 0.0000], [0.5000, 0.5000, 0.5000], [0.0000, 0.0000, 0.4083], [0.0000, 0.0000, 0.5917], [0.5000, 0.5000, 0.0917], [0.5000, 0.5000, 0.9083]],
  "volume_a3_per_atom": 25.52,
  "e_form_raw_ev_per_atom": -0.283,
  "spacegroup": "No. 139",
  "magmom_total_mub_per_atom": 0.000
}

---

Record 10
{
  "formula": "LiCu5Pd",
  "functional": "PBE",
  "state": "optimized geometry",
  "lattice": [[3.9026, -2.5066, 0.0000], [3.9026, 2.5066, 0.0000], [0.0000, 0.0000, 9.7074]],
  "species": ["Li", "Li", "Cu", "Cu", "Cu", "Cu", "Cu", "Cu", "Cu", "Cu", "Cu", "Cu", "Pd", "Pd"],
  "fractional_positions": [[0.1465, 0.8535, 0.7500], [0.8535, 0.1465, 0.2500], [0.0773, 0.3658, 0.6168], [0.0773, 0.3658, 0.8832], [0.3658, 0.0773, 0.1168], [0.3658, 0.0773, 0.3832], [0.3769, 0.6231, 0.2500], [0.6231, 0.3769, 0.7500], [0.6342, 0.9227, 0.6168], [0.6342, 0.9227, 0.8832], [0.9227, 0.6342, 0.1168], [0.9227, 0.6342, 0.3832], [0.5000, 0.5000, 0.0000], [0.5000, 0.5000, 0.5000]],
  "volume_a3_per_atom": 13.57,
  "delta_e_f_mev_per_atom": 13,
  "spacegroup": "No. 63",
  "magmom_total_mub_per_atom": 0.000
}

---

Record 11
{
  "formula": "MgIr2F",
  "functional": "PBE",
  "state": "optimized geometry",
  "lattice": [[3.4721, 0.0000, 0.0000], [0.0000, 3.4721, 0.0000], [0.0000, 0.0000, 21.9988]],
  "species": ["Mg", "Mg", "Mg", "Mg", "Ir", "Ir", "Ir", "Ir", "Ir", "Ir", "Ir", "Ir", "F", "F", "F", "F"],
  "fractional_positions": [[0.0000, 0.0000, 0.0000], [0.0000, 0.5000, 0.2500], [0.5000, 0.0000, 0.7500], [0.5000, 0.5000, 0.5000], [0.2492, 0.2500, 0.6250], [0.2500, 0.7492, 0.8750], [0.2500, 0.7508, 0.3750], [0.2508, 0.2500, 0.1250], [0.7492, 0.7500, 0.1250], [0.7500, 0.2492, 0.3750], [0.7500, 0.2508, 0.8750], [0.7508, 0.7500, 0.6250], [0.0000, 0.0000, 0.5000], [0.0000, 0.5000, 0.7500], [0.5000, 0.0000, 0.2500], [0.5000, 0.5000, 0.0000]],
  "volume_a3_per_atom": 16.58,
  "e_form_raw_ev_per_atom": -0.400,
  "spacegroup": "No. 122",
  "magmom_total_mub_per_atom": 0.000
}

---

Record 12
{
  "formula": "SbPd6Au3",
  "functional": "PBE",
  "state": "optimized geometry",
  "lattice": [[8.6156, 0.0000, 0.0000], [0.0000, 4.1523, 0.0000], [-3.2272, 0.0000, 9.7849]],
  "species": ["Sb", "Sb", "Pd", "Pd", "Pd", "Pd", "Pd", "Pd", "Pd", "Pd", "Pd", "Pd", "Pd", "Pd", "Au", "Au", "Au", "Au", "Au", "Au"],
  "fractional_positions": [[0.2107, 0.2500, 0.1739], [0.7893, 0.7500, 0.8261], [0.0104, 0.2500, 0.8973], [0.1050, 0.2500, 0.5529], [0.2502, 0.7500, 0.9963], [0.3665, 0.2500, 0.4443], [0.4194, 0.7500, 0.2806], [0.4779, 0.2500, 0.0962], [0.5221, 0.7500, 0.9038], [0.5806, 0.2500, 0.7194], [0.6335, 0.7500, 0.5557], [0.7498, 0.2500, 0.0037], [0.8950, 0.7500, 0.4471], [0.9896, 0.7500, 0.1027], [0.0511, 0.7500, 0.7186], [0.3003, 0.2500, 0.8179], [0.3351, 0.7500, 0.6164], [0.6649, 0.2500, 0.3836], [0.6997, 0.7500, 0.1821], [0.9489, 0.2500, 0.2814]],
  "volume_a3_per_atom": 17.50,
  "e_form_raw_ev_per_atom": -0.145,
  "spacegroup": "No. 11",
  "magmom_total_mub_per_atom": 0.000
}